Computed, not measured: a geometry-optimized Ba3RuC structure at the PBE-GGA level of DFT.

a = 5.562 Å, b = 5.562 Å, c = 5.562 Å
α = 90.00°, β = 90.00°, γ = 90.00°
Each line ends with the local moment (μB).
Fractional coordinates of all 5 atoms:
Ba  0.000  0.000  0.500  -0.02
C  0.000  0.000  0.000  0.27
Ba  0.500  0.000  0.000  -0.04
Ru  0.500  0.500  0.500  1.42
Ba  0.000  0.500  0.000  -0.03

Calculated values
V, Å³ per atom: 34.4
Energy relative to the elements, eV per atom: 0.969
Total magnetic moment, Bohr magnetons per cell: 1.6
Theoretical density, Mg/m³: 5.1
Space group: Pm-3m, No. 221
Energy relative to the lowest polymorph listed for this composition, meV/atom: 0
N(E_F), states/eV/cell: 5.7
Final energy, eV/atom: -3.88